Below is a geometry-optimized K2NiPdCl6 structure, with properties calculated at the PBE level.

Calculated values
Uncorrected energy, eV per atom: -3.475

Cell: 6.847 6.847 6.847 Å, 60.00 60.00 60.00°
Atoms (fractional coordinates):
Cl (0.257, 0.257, 0.743)
Cl (0.743, 0.743, 0.257)
Cl (0.257, 0.743, 0.257)
Cl (0.743, 0.257, 0.743)
Cl (0.257, 0.743, 0.743)
Cl (0.743, 0.257, 0.257)
Ni (0.500, 0.500, 0.500)
Pd (0.000, 0.000, 0.000)
K (0.250, 0.250, 0.250)
K (0.750, 0.750, 0.750)

---

Below is a geometry-optimized BaLaAgTeSe2 structure, with properties calculated at the PBE level.

Calculated values
Uncorrected energy, eV per atom: -4.803

Cell: 7.746 7.746 11.708 Å, 90.00 90.00 146.74°
Atoms (fractional coordinates):
Se (0.869, 0.131, 0.067)
Se (0.131, 0.869, 0.567)
Se (0.131, 0.869, 0.933)
Se (0.869, 0.131, 0.433)
Te (0.594, 0.406, 0.250)
Te (0.406, 0.594, 0.750)
La (0.500, 0.500, 0.500)
La (0.500, 0.500, 0.000)
Ag (0.977, 0.023, 0.250)
Ag (0.023, 0.977, 0.750)
Ba (0.273, 0.727, 0.250)
Ba (0.727, 0.273, 0.750)

---

Below is a geometry-optimized LiBiW structure, with properties calculated at the PBE level.

Calculated values
E above lowest polymorph, kJ per mole of atoms: 0.00

Cell: 4.629 4.629 4.629 Å, 60.00 60.00 60.00°
Atoms (fractional coordinates):
W (0.000, 0.000, 0.000)
Li (0.750, 0.750, 0.750)
Bi (0.250, 0.250, 0.250)

---

Below is a geometry-optimized Co2NiGeH structure, with properties calculated at the PBE level.

Calculated values
Uncorrected energy, eV per atom: -5.715

Cell: 3.630 3.630 3.562 Å, 90.00 90.00 90.00°
Atoms (fractional coordinates):
H (0.000, 0.000, 0.000)
Ge (0.500, 0.500, 0.500)
Ni (0.000, 0.000, 0.500)
Co (0.500, 0.000, 0.000)
Co (0.000, 0.500, 0.000)

---

Below is a geometry-optimized ScNiBiPt structure, with properties calculated at the PBE level.

Calculated values
E above lowest polymorph, kJ per mole of atoms: 0.00

Cell: 4.695 4.695 4.695 Å, 60.00 60.00 60.00°
Atoms (fractional coordinates):
Sc (0.500, 0.500, 0.500)
Bi (0.000, 0.000, 0.000)
Pt (0.250, 0.250, 0.250)
Ni (0.750, 0.750, 0.750)

---

Below is a geometry-optimized Na2ReTcO6 structure, with properties calculated at the PBE level.

Calculated values
Uncorrected energy, eV per atom: -7.141

Cell: 5.456 5.456 5.456 Å, 119.99 119.99 90.01°
Atoms (fractional coordinates):
O (0.248, 0.248, 0.495)
O (0.752, 0.752, 0.505)
O (0.248, 0.248, 0.000)
O (0.752, 0.248, 0.000)
O (0.248, 0.752, 0.000)
O (0.752, 0.752, 0.000)
Re (0.000, 0.000, 0.000)
Na (0.750, 0.250, 0.500)
Na (0.250, 0.750, 0.500)
Tc (0.500, 0.500, 0.000)

---

Below is a geometry-optimized La5Tc2O12 structure, with properties calculated at the PBE level.

Calculated values
Uncorrected energy, eV per atom: -8.349

Cell: 7.124 7.124 7.926 Å, 106.29 106.29 47.86°
Atoms (fractional coordinates):
Tc (0.214, 0.786, 0.000)
Tc (0.786, 0.214, 0.000)
La (0.000, 0.000, 0.500)
La (0.316, 0.316, 0.170)
La (0.310, 0.310, 0.647)
La (0.690, 0.690, 0.353)
La (0.684, 0.684, 0.830)
O (0.913, 0.402, 0.077)
O (0.598, 0.087, 0.923)
O (0.001, 0.001, 0.196)
O (0.499, 0.499, 0.836)
O (0.402, 0.913, 0.077)
O (0.501, 0.501, 0.164)
O (0.407, 0.905, 0.578)
O (0.999, 0.999, 0.804)
O (0.087, 0.598, 0.923)
O (0.593, 0.095, 0.422)
O (0.905, 0.407, 0.578)
O (0.095, 0.593, 0.422)

---

Below is a geometry-optimized AcAgB4 structure, with properties calculated at the PBE level.

Calculated values
E above lowest polymorph, kJ per mole of atoms: 8.26

Cell: 3.293 3.293 7.882 Å, 90.00 90.00 120.00°
Atoms (fractional coordinates):
Ag (0.000, 0.000, 0.500)
B (0.667, 0.333, 0.721)
B (0.667, 0.333, 0.279)
B (0.333, 0.667, 0.721)
B (0.333, 0.667, 0.279)
Ac (0.000, 0.000, 0.000)

---

Below is a geometry-optimized AcThRe structure, with properties calculated at the PBE level.

Calculated values
Formation energy, eV/atom: 0.34
E above lowest polymorph, kJ per mole of atoms: 0.00

Cell: 5.083 5.083 5.083 Å, 60.00 60.00 60.00°
Atoms (fractional coordinates):
Re (0.000, 0.000, 0.000)
Ac (0.250, 0.250, 0.250)
Th (0.750, 0.750, 0.750)

---

Below is a geometry-optimized Nd2GdTl3AgPt2 structure, with properties calculated at the PBE level.

Calculated values
Uncorrected energy, eV per atom: -4.682

Cell: 3.911 7.993 7.993 Å, 119.84 90.00 90.00°
Atoms (fractional coordinates):
Gd (0.000, 0.415, 0.415)
Nd (0.000, 0.586, 0.000)
Nd (0.000, 0.000, 0.586)
Ag (0.000, 0.002, 0.002)
Tl (0.500, 0.733, 0.733)
Tl (0.500, 0.266, 0.001)
Tl (0.500, 0.001, 0.266)
Pt (0.500, 0.662, 0.335)
Pt (0.500, 0.335, 0.662)

---

Below is a geometry-optimized NpTlHg structure, with properties calculated at the PBE level.

Calculated values
E above lowest polymorph, kJ per mole of atoms: 0.00

Cell: 5.014 5.014 5.014 Å, 60.00 60.00 60.00°
Atoms (fractional coordinates):
Np (0.250, 0.250, 0.250)
Hg (0.000, 0.000, 0.000)
Tl (0.750, 0.750, 0.750)

---

Below is a geometry-optimized YMgAlCo structure, with properties calculated at the PBE level.

Calculated values
E above lowest polymorph, kJ per mole of atoms: 6.77

Cell: 4.666 4.666 4.666 Å, 60.00 60.00 60.00°
Atoms (fractional coordinates):
Co (0.750, 0.750, 0.750)
Y (0.250, 0.250, 0.250)
Al (0.000, 0.000, 0.000)
Mg (0.500, 0.500, 0.500)

---

Below is a geometry-optimized Zr4Fe4Ge7 structure, with properties calculated at the PBE level.

Calculated values
Uncorrected energy, eV per atom: -7.209

Cell: 9.839 9.839 9.839 Å, 93.96 93.96 149.51°
Atoms (fractional coordinates):
Ge (0.000, 0.291, 0.291)
Ge (0.000, 0.709, 0.709)
Ge (0.709, 0.000, 0.709)
Ge (0.707, 0.707, 0.414)
Ge (0.293, 0.707, 0.000)
Ge (0.907, 0.500, 0.407)
Ge (0.500, 0.907, 0.407)
Ge (0.093, 0.500, 0.593)
Ge (0.751, 0.751, 0.000)
Ge (0.293, 0.293, 0.586)
Ge (0.500, 0.093, 0.593)
Ge (0.707, 0.293, 0.000)
Ge (0.291, 0.000, 0.291)
Ge (0.249, 0.249, 0.000)
Zr (0.861, 0.139, 0.000)
Zr (0.305, 0.500, 0.805)
Zr (0.861, 0.861, 0.722)
Zr (0.500, 0.695, 0.195)
Zr (0.139, 0.139, 0.278)
Zr (0.139, 0.861, 0.000)
Zr (0.695, 0.500, 0.195)
Zr (0.500, 0.305, 0.805)
Fe (0.898, 0.398, 0.797)
Fe (0.398, 0.602, 0.500)
Fe (0.102, 0.898, 0.500)
Fe (0.398, 0.898, 0.797)
Fe (0.102, 0.602, 0.203)
Fe (0.602, 0.398, 0.500)
Fe (0.602, 0.102, 0.203)
Fe (0.898, 0.102, 0.500)

---

Below is a geometry-optimized Li4Ga3Au structure, with properties calculated at the PBE level.

Calculated values
Uncorrected energy, eV per atom: -2.944

Cell: 4.356 4.356 6.252 Å, 90.00 90.00 90.00°
Atoms (fractional coordinates):
Li (0.500, 0.500, 0.000)
Li (0.000, 0.000, 0.500)
Li (0.000, 0.500, 0.248)
Li (0.500, 0.000, 0.752)
Au (0.000, 0.000, 0.000)
Ga (0.000, 0.500, 0.750)
Ga (0.500, 0.000, 0.250)
Ga (0.500, 0.500, 0.500)

---

Below is a geometry-optimized NaTcAuSe3 structure, with properties calculated at the PBE level.

Calculated values
E above lowest polymorph, kJ per mole of atoms: 8.48

Cell: 7.058 3.973 17.520 Å, 90.00 90.00 90.00°
Atoms (fractional coordinates):
Au (0.324, 0.250, 0.175)
Au (0.176, 0.750, 0.675)
Au (0.824, 0.250, 0.325)
Au (0.676, 0.750, 0.825)
Tc (0.744, 0.250, 0.036)
Tc (0.756, 0.750, 0.536)
Tc (0.256, 0.750, 0.964)
Tc (0.244, 0.250, 0.464)
Se (0.520, 0.750, 0.063)
Se (0.879, 0.750, 0.949)
Se (0.798, 0.750, 0.683)
Se (0.121, 0.250, 0.051)
Se (0.621, 0.250, 0.449)
Se (0.480, 0.250, 0.937)
Se (0.980, 0.250, 0.563)
Se (0.702, 0.250, 0.183)
Se (0.379, 0.750, 0.551)
Se (0.020, 0.750, 0.437)
Se (0.202, 0.250, 0.317)
Se (0.298, 0.750, 0.817)
Na (0.006, 0.750, 0.198)
Na (0.506, 0.750, 0.302)
Na (0.494, 0.250, 0.698)
Na (0.994, 0.250, 0.802)

---

Below is a geometry-optimized CuAg3 structure, with properties calculated at the PBE level.

Calculated values
Formation energy, eV/atom: 0.06

Cell: 5.794 2.901 7.893 Å, 90.00 90.37 90.00°
Atoms (fractional coordinates):
Cu (0.613, 0.250, 0.385)
Cu (0.387, 0.750, 0.615)
Ag (0.860, 0.750, 0.613)
Ag (0.871, 0.750, 0.137)
Ag (0.129, 0.250, 0.863)
Ag (0.382, 0.750, 0.132)
Ag (0.140, 0.250, 0.387)
Ag (0.618, 0.250, 0.868)

---

Below is a geometry-optimized GdGeH2O4 structure, with properties calculated at the PBE level.

Calculated values
E above lowest polymorph, kJ per mole of atoms: 35.15

Cell: 6.285 6.285 6.285 Å, 114.82 99.23 114.82°
Atoms (fractional coordinates):
O (0.973, 0.169, 0.796)
O (0.123, 0.677, 0.454)
O (0.195, 0.823, 0.027)
O (0.777, 0.323, 0.445)
O (0.204, 0.177, 0.373)
O (0.627, 0.831, 0.805)
O (0.555, 0.331, 0.877)
O (0.546, 0.669, 0.223)
Gd (0.500, 0.000, 0.500)
Gd (0.250, 0.500, 0.750)
H (0.771, 0.000, 0.771)
H (0.521, 0.500, 0.021)
H (0.979, 0.500, 0.479)
H (0.229, 0.000, 0.229)
Ge (0.750, 0.500, 0.250)
Ge (0.000, 0.000, 0.000)

---

Below is a geometry-optimized W2C structure, with properties calculated at the PBE level.

Calculated values
Uncorrected energy, eV per atom: -9.000

Cell: 5.163 5.163 5.163 Å, 60.00 60.00 60.00°
Atoms (fractional coordinates):
W (0.625, 0.625, 0.125)
W (0.625, 0.625, 0.625)
W (0.625, 0.125, 0.625)
W (0.125, 0.625, 0.625)
C (0.250, 0.250, 0.250)
C (0.000, 0.000, 0.000)

---

Below is a geometry-optimized Li2ZrHg structure, with properties calculated at the PBE level.

Calculated values
Uncorrected energy, eV per atom: -3.231

Cell: 4.684 4.684 4.684 Å, 60.00 60.00 60.00°
Atoms (fractional coordinates):
Zr (0.500, 0.500, 0.500)
Hg (0.250, 0.250, 0.250)
Li (0.750, 0.750, 0.750)
Li (0.000, 0.000, 0.000)

---

Below is a geometry-optimized CdHgTe structure, with properties calculated at the PBE level.

Calculated values
E above lowest polymorph, kJ per mole of atoms: 0.00

Cell: 6.984 4.101 12.130 Å, 90.00 90.00 90.00°
Atoms (fractional coordinates):
Te (0.725, 0.250, 0.648)
Te (0.775, 0.750, 0.148)
Te (0.275, 0.750, 0.352)
Te (0.225, 0.250, 0.852)
Cd (0.040, 0.750, 0.699)
Cd (0.960, 0.250, 0.301)
Cd (0.540, 0.750, 0.801)
Cd (0.460, 0.250, 0.199)
Hg (0.260, 0.250, 0.554)
Hg (0.240, 0.750, 0.054)
Hg (0.760, 0.250, 0.946)
Hg (0.740, 0.750, 0.446)

---

Below is a geometry-optimized Na6ZnH4S4O18 structure, with properties calculated at the PBE level.

Calculated values
Uncorrected energy, eV per atom: -5.487

Cell: 5.972 6.708 10.022 Å, 70.20 77.22 75.21°
Atoms (fractional coordinates):
O (0.983, 0.586, 0.316)
O (0.735, 0.325, 0.196)
O (0.017, 0.414, 0.684)
O (0.265, 0.675, 0.804)
O (0.660, 0.037, 0.125)
O (0.966, 0.691, 0.040)
O (0.649, 0.390, 0.625)
O (0.820, 0.109, 0.818)
O (0.359, 0.358, 0.126)
O (0.983, 0.855, 0.426)
O (0.180, 0.891, 0.182)
O (0.351, 0.610, 0.375)
O (0.034, 0.309, 0.960)
O (0.340, 0.963, 0.875)
O (0.541, 0.900, 0.649)
O (0.641, 0.642, 0.874)
O (0.017, 0.145, 0.574)
O (0.459, 0.100, 0.351)
Zn (0.000, 0.000, 0.000)
Na (0.043, 0.215, 0.329)
Na (0.609, 0.739, 0.461)
Na (0.560, 0.709, 0.105)
Na (0.440, 0.291, 0.895)
Na (0.391, 0.261, 0.539)
Na (0.957, 0.785, 0.671)
H (0.988, 0.384, 0.863)
H (0.087, 0.640, 0.966)
H (0.913, 0.360, 0.034)
H (0.012, 0.616, 0.137)
S (0.876, 0.267, 0.673)
S (0.552, 0.206, 0.201)
S (0.124, 0.733, 0.327)
S (0.448, 0.794, 0.799)

---

Below is a geometry-optimized GaAgMo2 structure, with properties calculated at the PBE level.

Calculated values
Uncorrected energy, eV per atom: -6.511

Cell: 4.504 4.504 4.504 Å, 60.00 60.00 60.00°
Atoms (fractional coordinates):
Ag (0.250, 0.250, 0.250)
Mo (0.750, 0.750, 0.750)
Mo (0.000, 0.000, 0.000)
Ga (0.500, 0.500, 0.500)